First-principles (GGA-PBE) data for an optimized crystal structure of Ga2BiRhS, as listed in Alexandria.

CIF file:
```
data_Ga2BiRhS
_chemical_formula_sum 'Ga2 Bi1 Rh1 S1'
_symmetry_space_group_name_H-M 'P 1'
_symmetry_Int_Tables_number 1
_symmetry_space_group_name_Hall 'P 1'
_cell_length_a 5.427
_cell_length_b 5.427
_cell_length_c 5.262
_cell_angle_alpha 90.00
_cell_angle_beta 90.00
_cell_angle_gamma 90.00
loop_
_atom_site_label
_atom_site_type_symbol
_atom_site_fract_x
_atom_site_fract_y
_atom_site_fract_z
Ga1 Ga 0.000 0.500 0.000
Ga2 Ga 0.500 0.000 0.000
Bi1 Bi 0.000 0.000 0.000
Rh1 Rh 0.500 0.500 0.500
S1 S 0.000 0.000 0.500
```

Computed properties:
Final energy: -15.63 eV for the cell shown
E_form (uncorrected): 26.68 kcal/mol of atoms
DOS at the Fermi energy: 4.98 states/eV/f.u.